# 1
# Tl7Hg5Sb, optimized geometry, DFT PBE-GGA
# Energy relative to the elements, uncorrected ... 3.4 kJ per mole of atoms
# VASP energy ... -21.74 eV/f.u.
# Magnetization ... 0.00 μB/f.u.
data_Tl7Hg5Sb
_cell_length_a 6.633
_cell_length_b 10.632
_cell_length_c 11.353
_cell_angle_alpha 90.00
_cell_angle_beta 90.00
_cell_angle_gamma 90.00
_space_group_name_H-M_alt 'I m m 2'
_space_group_IT_number 44
loop_
_space_group_symop_operation_xyz
'x,y,z'
'-x,-y,z'
'-x,y,z'
'x,-y,z'
'x+1/2,y+1/2,z+1/2'
'-x+1/2,-y+1/2,z+1/2'
'-x+1/2,y+1/2,z+1/2'
'x+1/2,-y+1/2,z+1/2'
loop_
_atom_site_label
_atom_site_type_symbol
_atom_site_fract_x
_atom_site_fract_y
_atom_site_fract_z
Tl1 Tl 0.000 0.000 0.000
Tl2 Tl 0.000 0.000 0.414
Tl3 Tl 0.000 0.304 0.839
Tl4 Tl 0.000 0.340 0.343
Tl5 Tl 0.000 0.500 0.075
Hg1 Hg 0.000 0.500 0.615
Hg2 Hg 0.246 0.251 0.591
Sb1 Sb 0.000 0.000 0.715

=====

# 2
# Tl5HgSb, optimized geometry, DFT PBE-GGA
# Energy relative to the lowest polymorph listed for this composition ... 28 meV per atom
# Energy relative to the elements, uncorrected ... 4.0 kJ per mole of atoms
# VASP energy ... -15.97 eV/f.u.
# Magnetization ... 0.00 μB/f.u.
data_Tl5HgSb
_cell_length_a 11.964
_cell_length_b 6.311
_cell_length_c 12.287
_cell_angle_alpha 90.00
_cell_angle_beta 106.66
_cell_angle_gamma 90.00
_space_group_name_H-M_alt 'C 1 2/c 1'
_space_group_IT_number 15
loop_
_space_group_symop_operation_xyz
'x,y,z'
'-x,-y,-z'
'-x,y,-z+1/2'
'x,-y,z+1/2'
'x+1/2,y+1/2,z'
'-x+1/2,-y+1/2,-z'
'-x+1/2,y+1/2,-z+1/2'
'x+1/2,-y+1/2,z+1/2'
loop_
_atom_site_label
_atom_site_type_symbol
_atom_site_fract_x
_atom_site_fract_y
_atom_site_fract_z
Tl1 Tl 0.000 0.200 0.250
Tl2 Tl 0.151 0.453 0.015
Tl3 Tl 0.230 0.106 0.695
Hg1 Hg 0.000 0.302 0.750
Sb1 Sb 0.000 0.000 0.000

=====

# 3
# TlHg2Sb, optimized geometry, DFT PBE-GGA
# Energy relative to the elements, uncorrected ... 7.7 kJ per mole of atoms
# VASP energy ... -6.77 eV/f.u.
# Magnetization ... 0.00 μB/f.u.
data_TlHg2Sb
_cell_length_a 7.261
_cell_length_b 10.882
_cell_length_c 3.175
_cell_angle_alpha 90.00
_cell_angle_beta 115.64
_cell_angle_gamma 90.00
_space_group_name_H-M_alt 'C 1 2/m 1'
_space_group_IT_number 12
loop_
_space_group_symop_operation_xyz
'x,y,z'
'-x,-y,-z'
'-x,y,-z'
'x,-y,z'
'x+1/2,y+1/2,z'
'-x+1/2,-y+1/2,-z'
'-x+1/2,y+1/2,-z'
'x+1/2,-y+1/2,z'
loop_
_atom_site_label
_atom_site_type_symbol
_atom_site_fract_x
_atom_site_fract_y
_atom_site_fract_z
Tl1 Tl 0.000 0.000 0.000
Hg1 Hg 0.250 0.250 0.500
Sb1 Sb 0.000 0.500 0.000

=====

# 4
# TlHg2Sb, optimized geometry, DFT PBE-GGA
# Energy relative to the elements, uncorrected ... 5.9 kJ per mole of atoms
# VASP energy ... -6.85 eV/f.u.
# Magnetization ... 0.00 μB/f.u.
data_TlHg2Sb
_cell_length_a 7.629
_cell_length_b 7.629
_cell_length_c 7.629
_cell_angle_alpha 90.00
_cell_angle_beta 90.00
_cell_angle_gamma 90.00
_space_group_name_H-M_alt 'F -4 3 m'
_space_group_IT_number 216
_space_group_name_Hall 'F -4 2 3'
loop_
_atom_site_label
_atom_site_type_symbol
_atom_site_fract_x
_atom_site_fract_y
_atom_site_fract_z
Tl1 Tl 0.000 0.000 0.000
Hg1 Hg 0.000 0.000 0.500
Hg2 Hg 0.250 0.250 0.250
Sb1 Sb 0.250 0.250 0.750

=====

# 5
# Tl4Hg2Sb, optimized geometry, DFT PBE-GGA
# Energy relative to the lowest polymorph listed for this composition ... 0 meV per atom
# Energy relative to the elements, uncorrected ... 2.3 kJ per mole of atoms
# VASP energy ... -14.02 eV/f.u.
# Magnetization ... 0.00 μB/f.u.
data_Tl4Hg2Sb
_cell_length_a 7.066
_cell_length_b 6.658
_cell_length_c 10.018
_cell_angle_alpha 90.00
_cell_angle_beta 109.93
_cell_angle_gamma 90.00
_space_group_name_H-M_alt 'P 1 21/m 1'
_space_group_IT_number 11
loop_
_space_group_symop_operation_xyz
'x,y,z'
'-x,-y,-z'
'-x,y+1/2,-z'
'x,-y+1/2,z'
loop_
_atom_site_label
_atom_site_type_symbol
_atom_site_fract_x
_atom_site_fract_y
_atom_site_fract_z
Tl1 Tl 0.094 0.250 0.040
Tl2 Tl 0.171 0.003 0.739
Tl3 Tl 0.321 0.750 0.337
Hg1 Hg 0.194 0.250 0.474
Hg2 Hg 0.433 0.750 0.037
Sb1 Sb 0.482 0.250 0.310

=====

# 6
# Tl5Hg4Sb4, optimized geometry, DFT PBE-GGA
# Energy relative to the elements, uncorrected ... 0.5 kJ per mole of atoms
# VASP energy ... -29.45 eV/f.u.
# Magnetization ... 0.00 μB/f.u.
data_Tl5Hg4Sb4
_cell_length_a 12.657
_cell_length_b 12.657
_cell_length_c 5.012
_cell_angle_alpha 90.00
_cell_angle_beta 90.00
_cell_angle_gamma 90.00
_space_group_name_H-M_alt 'I 4/m'
_space_group_IT_number 87
_space_group_name_Hall '-I 4'
loop_
_atom_site_label
_atom_site_type_symbol
_atom_site_fract_x
_atom_site_fract_y
_atom_site_fract_z
Tl1 Tl 0.000 0.000 0.000
Tl2 Tl 0.095 0.183 0.500
Hg1 Hg 0.119 0.370 0.000
Sb1 Sb 0.086 0.734 0.000

=====

# 7
# Tl4Hg6Sb, optimized geometry, DFT PBE-GGA
# Energy relative to the elements, uncorrected ... 1.9 kJ per mole of atoms
# VASP energy ... -15.18 eV/f.u.
# Magnetization ... 0.00 μB/f.u.
data_Tl4Hg6Sb
_cell_length_a 10.004
_cell_length_b 10.765
_cell_length_c 6.930
_cell_angle_alpha 90.00
_cell_angle_beta 113.00
_cell_angle_gamma 90.00
_space_group_name_H-M_alt 'C 1 m 1'
_space_group_IT_number 8
loop_
_space_group_symop_operation_xyz
'x,y,z'
'x,-y,z'
'x+1/2,y+1/2,z'
'x+1/2,-y+1/2,z'
loop_
_atom_site_label
_atom_site_type_symbol
_atom_site_fract_x
_atom_site_fract_y
_atom_site_fract_z
Tl1 Tl 0.000 0.000 0.000
Tl2 Tl 0.131 0.500 0.147
Tl3 Tl 0.425 0.224 0.651
Hg1 Hg 0.094 0.227 0.332
Hg2 Hg 0.159 0.500 0.650
Hg3 Hg 0.268 0.246 0.026
Hg4 Hg 0.276 0.000 0.811
Sb1 Sb 0.458 0.500 0.498

=====

# 8
# TlHg2Sb2, optimized geometry, DFT PBE-GGA
# Energy relative to the lowest polymorph listed for this composition ... 20 meV per atom
# Energy relative to the elements, uncorrected ... 10.5 kJ per mole of atoms
# VASP energy ... -10.67 eV/f.u.
# Magnetization ... 0.00 μB/f.u.
data_TlHg2Sb2
_cell_length_a 4.619
_cell_length_b 4.619
_cell_length_c 14.197
_cell_angle_alpha 90.00
_cell_angle_beta 90.00
_cell_angle_gamma 90.00
_space_group_name_H-M_alt 'I 4/m m m'
_space_group_IT_number 139
_space_group_name_Hall '-I 4 2'
loop_
_atom_site_label
_atom_site_type_symbol
_atom_site_fract_x
_atom_site_fract_y
_atom_site_fract_z
Tl1 Tl 0.000 0.000 0.000
Hg1 Hg 0.000 0.000 0.400
Sb1 Sb 0.000 0.500 0.250

=====

Question: Which of these has the highest energy relative to the elements, uncorrected?
Answer: TlHg2Sb2

=====

Question: Look up the VASP energy of the first one.
Answer: -21.74 eV/f.u.

=====

Question: Look up the energy relative to the elements, uncorrected of the fourth one.
Answer: 5.9 kJ per mole of atoms

=====

Question: What is the energy relative to the elements, uncorrected in the fifth record?
Answer: 2.3 kJ per mole of atoms